A plane-wave DFT calculation with PBE with a Hubbard U was carried out for a geometry-optimized VTeO2 structure.

## Properties
* crystal system: trigonal
* DOS at the Fermi energy: 0.4485 states/eV per atom
* total energy: -6.367 eV/atom
* spin magnetization: 1.047 μB/f.u.
* ρ: 4.5 g cm⁻³
* space group: R-3m (166)

Unit cell a=9.7952 b=9.7952 c=9.7952 alpha=17.88 beta=17.88 gamma=17.88
Sites, in units of the cell vectors:
V 0.0000 0.0000 0.0000
Te 0.5000 0.5000 0.5000
O 0.3657 0.3657 0.3657
O 0.6343 0.6343 0.6343